DFT (PBE-GGA) results for an optimized crystal structure of NiBi2PtS.

Cell: 5.352 4.671 5.352 Å, 90.00 90.00 90.00°
Positions (direct):
S1 0.500 0.500 0.500
Ni1 0.000 0.500 0.000
Pt1 0.000 0.000 0.000
Bi1 0.000 0.000 0.500
Bi2 0.500 0.000 0.000

Calculated values
total magnetization: 0.996 μB/f.u.
E_form (uncorrected): 0.6292 eV/atom
symmetry: P4/mmm (123)
raw total energy: -4.11 eV per atom